Nb2CuIrC: optimized geometry, PBE-GGA.

Energy   -7.308 eV per atom
ΔE_f   1156 meV/atom
DOS(E_F)   0.98 states/eV/atom

Lattice parameters (Å, degrees): 4.811 3.386 4.811 90.00 90.00 90.00
Element x y z (fractional)
Nb: 0.000 0.000 0.500
Nb: 0.500 0.000 0.000
Ir: 0.500 0.500 0.500
C: 0.000 0.500 0.000
Cu: 0.000 0.000 0.000